MnAlSb: optimized geometry, PBE.

POSCAR file:
```
MnAlSb
1.0
-2.662 0.267 -1.686
0.696 -2.732 1.433
-3.069 1.919 5.151
Al Mn Sb
1 1 1
Cartesian
-0.112 0.070 0.188
-1.416 -1.111 2.059
-3.507 0.496 2.651
```

Computed properties:
Excess energy over the best structure of this formula in the dataset ... 125 meV per atom
ΔE_f (raw) ... 0.181 eV/atom
Magnetization ... 2.3 μB per formula unit